DFT (PBE) results for an optimized crystal structure of KNiCl2.

As for the energy above the most stable polymorph in this dataset: 23.0 meV/atom. The theoretical density is 2.90 g/cm3. The value obtained for the formation energy (no corrections) is -3.77 eV per formula unit. The magnetization is 0.13 μB per atom. For the density of states at the Fermi level, the calculation gives 3.3 states/eV per cell.

It has space group Pmm2 (No. 25), with a = 4.6775 Å, b = 4.6809 Å, c = 4.4057 Å, α = 90.00°, β = 90.00° and γ = 90.00°. Symmetry generates all atoms from K at (0.0000, 0.0000, 0.0000), Ni at (0.5000, 0.5000, 0.4988), Cl at (0.0000, 0.5000, 0.5013) and Cl at (0.5000, 0.0000, 0.4987).